[1]
{
  "formula": "Pr4YIn5",
  "functional": "PBE-GGA",
  "state": "optimized geometry",
  "cell": [[3.8648, 0.0000, 0.0000], [0.0000, 3.8648, 0.0000], [0.0000, 0.0000, 19.5051]],
  "species": ["Pr", "Pr", "Pr", "Pr", "Y", "In", "In", "In", "In", "In"],
  "frac_coords": [[0.0000, 0.0000, 0.1016], [0.0000, 0.0000, 0.3054], [0.0000, 0.0000, 0.6946], [0.0000, 0.0000, 0.8984], [0.0000, 0.0000, 0.5000], [0.5000, 0.5000, 0.0000], [0.5000, 0.5000, 0.2034], [0.5000, 0.5000, 0.4085], [0.5000, 0.5000, 0.5915], [0.5000, 0.5000, 0.7966]],
  "spacegroup": "P4/mmm, No. 123"
}

=====

[2]
{
  "formula": "Pr2Y4In",
  "functional": "PBE-GGA",
  "state": "optimized geometry",
  "cell": [[3.0829, -6.2906, 0.0000], [3.0829, 6.2906, 0.0000], [0.0000, 0.0000, 5.9392]],
  "species": ["Pr", "Pr", "Y", "Y", "Y", "Y", "In"],
  "frac_coords": [[0.1099, 0.8901, 0.0000], [0.8901, 0.1099, 0.0000], [0.1795, 0.8205, 0.5000], [0.3641, 0.6359, 0.0000], [0.6359, 0.3641, 0.0000], [0.8205, 0.1795, 0.5000], [0.5000, 0.5000, 0.5000]],
  "spacegroup": "Cmmm, No. 65"
}

=====

[3]
{
  "formula": "Pr4Y15In",
  "functional": "PBE-GGA",
  "state": "optimized geometry",
  "cell": [[5.0400, 0.0000, 0.0000], [0.0000, 5.0400, 0.0000], [0.0000, 0.0000, 25.5021]],
  "species": ["Pr", "Pr", "Pr", "Pr", "Y", "Y", "Y", "Y", "Y", "Y", "Y", "Y", "Y", "Y", "Y", "Y", "Y", "Y", "Y", "In"],
  "frac_coords": [[0.0000, 0.0000, 0.1016], [0.0000, 0.0000, 0.3023], [0.0000, 0.0000, 0.6977], [0.0000, 0.0000, 0.8984], [0.0000, 0.5000, 0.0000], [0.0000, 0.5000, 0.2025], [0.0000, 0.5000, 0.4055], [0.0000, 0.5000, 0.5945], [0.0000, 0.5000, 0.7975], [0.5000, 0.0000, 0.0000], [0.5000, 0.0000, 0.2025], [0.5000, 0.0000, 0.4055], [0.5000, 0.0000, 0.5945], [0.5000, 0.0000, 0.7975], [0.5000, 0.5000, 0.1015], [0.5000, 0.5000, 0.3064], [0.5000, 0.5000, 0.5000], [0.5000, 0.5000, 0.6936], [0.5000, 0.5000, 0.8985], [0.0000, 0.0000, 0.5000]],
  "spacegroup": "P4/mmm, No. 123"
}

=====

[4]
{
  "formula": "PrY3In",
  "functional": "PBE-GGA",
  "state": "optimized geometry",
  "cell": [[8.0652, 0.0000, 0.0000], [-4.0326, 6.9846, 0.0000], [0.0000, 0.0000, 6.0553]],
  "species": ["Pr", "Pr", "Y", "Y", "Y", "Y", "Y", "Y", "In", "In"],
  "frac_coords": [[0.3333, 0.6667, 0.2500], [0.6667, 0.3333, 0.7500], [0.1922, 0.3843, 0.7500], [0.1922, 0.8078, 0.7500], [0.3843, 0.1922, 0.2500], [0.6157, 0.8078, 0.7500], [0.8078, 0.1922, 0.2500], [0.8078, 0.6157, 0.2500], [0.0000, 0.0000, 0.0000], [0.0000, 0.0000, 0.5000]],
  "spacegroup": "P6_3/mmc, No. 194"
}

=====

Number 1: E_form -0.498 eV/atom. Number 2: E_form 0.433 eV/atom. Number 3: E_form -0.028 eV/atom. Number 4: E_form 0.027 eV/atom.